# Nd2NpRu3, optimized geometry, DFT GGA-PBE
# **Calculated total energy**: -8.67 eV per atom
# **V**: 20.46 A^3/atom
# **Formation enthalpy at 0 K**: -0.286 eV per atom
data_Nd2NpRu3
_chemical_formula_sum 'Nd4 Np2 Ru6'
_symmetry_space_group_name_H-M 'P 63/m m c'
_symmetry_Int_Tables_number 194
_symmetry_space_group_name_Hall '-P 6c 2c'
_cell_length_a 5.9399
_cell_length_b 5.9399
_cell_length_c 8.0339
_cell_angle_alpha 90.00
_cell_angle_beta 90.00
_cell_angle_gamma 120.00
loop_
_atom_site_label
_atom_site_fract_x
_atom_site_fract_y
_atom_site_fract_z
Nd1 0.3333 0.6667 0.0587
Np1 0.0000 0.0000 0.0000
Ru1 0.1625 0.3250 0.7500

# NdNpRu2, optimized geometry, DFT GGA-PBE
# **Calculated total energy**: -9.15 eV per atom
# **V**: 21.38 A^3/atom
# **Formation enthalpy at 0 K**: -0.084 eV per atom
data_NdNpRu2
_chemical_formula_sum 'Nd4 Np4 Ru8'
_symmetry_space_group_name_H-M 'P 1 21/c 1'
_symmetry_Int_Tables_number 14
_symmetry_space_group_name_Hall '-P 2ybc'
_cell_length_a 9.090
_cell_length_b 5.831
_cell_length_c 6.481
_cell_angle_alpha 90.00
_cell_angle_beta 95.09
_cell_angle_gamma 90.00
loop_
_atom_site_label
_atom_site_fract_x
_atom_site_fract_y
_atom_site_fract_z
Nd1 0.121 0.157 0.312
Np1 0.384 0.665 0.196
Ru1 0.172 0.694 0.476
Ru2 0.400 0.182 0.062

# NdNp2Ru3, optimized geometry, DFT GGA-PBE
# **Calculated total energy**: -9.75 eV per atom
# **V**: 21.47 A^3/atom
# **Formation enthalpy at 0 K**: -0.008 eV per atom
data_NdNp2Ru3
_chemical_formula_sum 'Nd4 Np8 Ru12'
_symmetry_space_group_name_H-M 'C m c m'
_symmetry_Int_Tables_number 63
_symmetry_space_group_name_Hall '-C 2c 2'
_cell_length_a 9.690
_cell_length_b 8.083
_cell_length_c 6.579
_cell_angle_alpha 90.00
_cell_angle_beta 90.00
_cell_angle_gamma 90.00
loop_
_atom_site_label
_atom_site_fract_x
_atom_site_fract_y
_atom_site_fract_z
Nd1 0.000 0.185 0.250
Np1 0.210 0.500 0.000
Ru1 0.000 0.434 0.750
Ru2 0.154 0.157 0.750

# NdNpRu2, optimized geometry, DFT GGA-PBE
# **Calculated total energy**: -9.20 eV per atom
# **V**: 21.33 A^3/atom
# **Formation enthalpy at 0 K**: -0.138 eV per atom
data_NdNpRu2
_chemical_formula_sum 'Nd4 Np4 Ru8'
_symmetry_space_group_name_H-M 'P n m a'
_symmetry_Int_Tables_number 62
_symmetry_space_group_name_Hall '-P 2ac 2n'
_cell_length_a 6.566
_cell_length_b 4.998
_cell_length_c 10.397
_cell_angle_alpha 90.00
_cell_angle_beta 90.00
_cell_angle_gamma 90.00
loop_
_atom_site_label
_atom_site_fract_x
_atom_site_fract_y
_atom_site_fract_z
Nd1 0.174 0.250 0.163
Np1 0.030 0.750 0.386
Ru1 0.114 0.250 0.858
Ru2 0.244 0.250 0.474

# NdNpRu2, optimized geometry, DFT GGA-PBE
# **Calculated total energy**: -9.18 eV per atom
# **V**: 20.38 A^3/atom
# **Formation enthalpy at 0 K**: -0.115 eV per atom
data_NdNpRu2
_chemical_formula_sum 'Nd1 Np1 Ru2'
_symmetry_space_group_name_H-M 'P 4/m m m'
_symmetry_Int_Tables_number 123
_symmetry_space_group_name_Hall '-P 4 2'
_cell_length_a 3.335
_cell_length_b 3.335
_cell_length_c 7.327
_cell_angle_alpha 90.00
_cell_angle_beta 90.00
_cell_angle_gamma 90.00
loop_
_atom_site_label
_atom_site_fract_x
_atom_site_fract_y
_atom_site_fract_z
Nd1 0.000 0.000 0.000
Np1 0.000 0.000 0.500
Ru1 0.500 0.500 0.295

# Nd5NpRu4, optimized geometry, DFT GGA-PBE
# **Calculated total energy**: -7.56 eV per atom
# **V**: 26.11 A^3/atom
# **Formation enthalpy at 0 K**: -0.167 eV per atom
data_Nd5NpRu4
_chemical_formula_sum 'Nd10 Np2 Ru8'
_symmetry_space_group_name_H-M 'C 1 2/m 1'
_symmetry_Int_Tables_number 12
_symmetry_space_group_name_Hall '-C 2y'
_cell_length_a 17.814
_cell_length_b 4.309
_cell_length_c 7.349
_cell_angle_alpha 90.00
_cell_angle_beta 112.20
_cell_angle_gamma 90.00
loop_
_atom_site_label
_atom_site_fract_x
_atom_site_fract_y
_atom_site_fract_z
Nd1 0.000 0.000 0.000
Nd2 0.163 0.500 0.538
Nd3 0.175 0.500 0.057
Np1 0.000 0.000 0.500
Ru1 0.014 0.500 0.709
Ru2 0.138 0.000 0.776

# NdNpS2, optimized geometry, DFT GGA-PBE
# **Energy relative to the lowest polymorph listed for this composition**: 130 meV per atom
# **Formation energy (no corrections)**: -1.572 eV per atom
# **Calculated total energy**: -8.06 eV per atom
# **V**: 22.91 A^3/atom
data_NdNpS2
_chemical_formula_sum 'Nd3 Np3 S6'
_symmetry_space_group_name_H-M 'R 3 m'
_symmetry_Int_Tables_number 160
_symmetry_space_group_name_Hall 'R 3 -2"'
_cell_length_a 3.8516
_cell_length_b 3.8516
_cell_length_c 21.3999
_cell_angle_alpha 90.00
_cell_angle_beta 90.00
_cell_angle_gamma 120.00
loop_
_atom_site_label
_atom_site_fract_x
_atom_site_fract_y
_atom_site_fract_z
Nd1 0.0000 0.0000 0.0000
Np1 0.0000 0.0000 0.1748
S1 0.0000 0.0000 0.4219
S2 0.0000 0.0000 0.5852

# NdNpS2, optimized geometry, DFT GGA-PBE
# **Energy relative to the lowest polymorph listed for this composition**: 0 meV per atom
# **Formation energy (no corrections)**: -1.702 eV per atom
# **Calculated total energy**: -8.19 eV per atom
# **V**: 22.43 A^3/atom
data_NdNpS2
_chemical_formula_sum 'Nd3 Np3 S6'
_symmetry_space_group_name_H-M 'R -3 m'
_symmetry_Int_Tables_number 166
_symmetry_space_group_name_Hall '-R 3 2"'
_cell_length_a 3.9950
_cell_length_b 3.9950
_cell_length_c 19.4768
_cell_angle_alpha 90.00
_cell_angle_beta 90.00
_cell_angle_gamma 120.00
loop_
_atom_site_label
_atom_site_fract_x
_atom_site_fract_y
_atom_site_fract_z
Nd1 0.0000 0.0000 0.0000
Np1 0.0000 0.0000 0.5000
S1 0.0000 0.0000 0.2451

# Nd2Np3S8, optimized geometry, DFT GGA-PBE
# **Energy relative to the lowest polymorph listed for this composition**: 4 meV per atom
# **Formation energy (no corrections)**: -1.535 eV per atom
# **Calculated total energy**: -7.79 eV per atom
# **V**: 27.82 A^3/atom
data_Nd2Np3S8
_chemical_formula_sum 'Nd4 Np6 S16'
_symmetry_space_group_name_H-M 'C 1 2/m 1'
_symmetry_Int_Tables_number 12
_symmetry_space_group_name_Hall '-C 2y'
_cell_length_a 14.111
_cell_length_b 7.989
_cell_length_c 6.830
_cell_angle_alpha 90.00
_cell_angle_beta 110.02
_cell_angle_gamma 90.00
loop_
_atom_site_label
_atom_site_fract_x
_atom_site_fract_y
_atom_site_fract_z
Nd1 0.233 0.000 0.160
Np1 0.000 0.242 0.500
Np2 0.000 0.500 0.000
S1 0.111 0.000 0.412
S2 0.113 0.500 0.424
S3 0.123 0.270 0.909

# Nd2Np3S8, optimized geometry, DFT GGA-PBE
# **Energy relative to the lowest polymorph listed for this composition**: 0 meV per atom
# **Formation energy (no corrections)**: -1.539 eV per atom
# **Calculated total energy**: -7.80 eV per atom
# **V**: 23.59 A^3/atom
data_Nd2Np3S8
_chemical_formula_sum 'Nd4 Np6 S16'
_symmetry_space_group_name_H-M 'C m m m'
_symmetry_Int_Tables_number 65
_symmetry_space_group_name_Hall '-C 2 2'
_cell_length_a 9.496
_cell_length_b 13.628
_cell_length_c 4.739
_cell_angle_alpha 90.00
_cell_angle_beta 90.00
_cell_angle_gamma 90.00
loop_
_atom_site_label
_atom_site_fract_x
_atom_site_fract_y
_atom_site_fract_z
Nd1 0.000 0.230 0.000
Np1 0.000 0.500 0.000
Np2 0.232 0.000 0.500
S1 0.000 0.121 0.500
S2 0.000 0.387 0.500
S3 0.237 0.381 0.000

# Nd3NpS4, optimized geometry, DFT GGA-PBE
# **Formation energy (no corrections)**: -1.856 eV per atom
# **Calculated total energy**: -7.33 eV per atom
# **V**: 23.18 A^3/atom
data_Nd3NpS4
_chemical_formula_sum 'Nd6 Np2 S8'
_symmetry_space_group_name_H-M 'C m m m'
_symmetry_Int_Tables_number 65
_symmetry_space_group_name_Hall '-C 2 2'
_cell_length_a 8.086
_cell_length_b 11.403
_cell_length_c 4.023
_cell_angle_alpha 90.00
_cell_angle_beta 90.00
_cell_angle_gamma 90.00
loop_
_atom_site_label
_atom_site_fract_x
_atom_site_fract_y
_atom_site_fract_z
Nd1 0.000 0.000 0.000
Nd2 0.250 0.250 0.500
Np1 0.000 0.500 0.000
S1 0.000 0.254 0.000
S2 0.241 0.500 0.500

# NdNp2S5, optimized geometry, DFT GGA-PBE
# **Formation energy (no corrections)**: -1.525 eV per atom
# **Calculated total energy**: -7.94 eV per atom
# **V**: 21.99 A^3/atom
data_NdNp2S5
_chemical_formula_sum 'Nd4 Np8 S20'
_symmetry_space_group_name_H-M 'P n m a'
_symmetry_Int_Tables_number 62
_symmetry_space_group_name_Hall '-P 2ac 2n'
_cell_length_a 11.874
_cell_length_b 7.992
_cell_length_c 7.414
_cell_angle_alpha 90.00
_cell_angle_beta 90.00
_cell_angle_gamma 90.00
loop_
_atom_site_label
_atom_site_fract_x
_atom_site_fract_y
_atom_site_fract_z
Nd1 0.008 0.250 0.083
Np1 0.182 0.000 0.509
S1 0.000 0.250 0.472
S2 0.110 0.546 0.162
S3 0.189 0.250 0.822
S4 0.221 0.750 0.791

Which of these has the highest calculated total energy? Nd3NpS4

The highest V belongs to which entry? number 9

Look up the V of the first one. 20.46 A^3/atom